a:
The following is a PBE calculation of an optimized crystal structure of Na2SiSe4, from Alexandria via LeMat-Bulk.

Unit cell a=5.058 b=5.058 c=14.501 alpha=90.00 beta=90.00 gamma=90.00
Space group I4/mmm (No. 139)
Unique sites:
Na 0.000 0.000 0.129 x4
Si 0.000 0.000 0.500 x2
Se 0.000 0.000 0.342 x4
Se 0.000 0.500 0.000 x4

Values from the calculation:
DOS at the Fermi energy	6.53	states/eV/cell
volume	26.50	Å³ per atom
calculated density	3.49	g/cm³



b:
The following is a PBE calculation of an optimized crystal structure of Na2SiSe4, from Alexandria via LeMat-Bulk.

Unit cell a=9.296 b=9.430 c=8.917 alpha=90.00 beta=90.00 gamma=90.00
Space group Fmm2 (No. 42)
Unique sites:
Na 0.250 0.250 0.000 x8
Si 0.000 0.000 0.251 x4
Se 0.000 0.243 0.220 x8
Se 0.246 0.000 0.283 x8

Values from the calculation:
DOS at the Fermi energy	15.55	states/eV/cell
volume	27.92	Å³ per atom
calculated density	3.31	g/cm³



The structure with the most favorable energy is b; the runner-up is 78 meV per atom above it.